(P)
Here is V3MoPt after structural relaxation from Alexandria via LeMat-Bulk. Energies are from GGA-PBE.

```
5
Lattice="-2.047 4.031 1.076 -2.035 0.082 -4.177 -3.642 -2.311 1.729" Properties=species:S:1:pos:R:3 pbc="T T T"
V -1.821 -1.156 0.864
V -1.023 2.015 0.538
V -1.017 0.041 -2.089
Pt 0.000 0.000 0.000
Mo -3.862 0.901 -0.686
```

Calculated values
Symmetry   Pm-3m, No. 221
Fermi-level density of states   7.89 states/eV per cell
Mass density   7.344 g/cm³

=====

(Q)
Here is V3MoPt after structural relaxation from Alexandria via LeMat-Bulk. Energies are from GGA-PBE.

```
5
Lattice="-3.102 -2.370 -2.149 2.943 -3.288 -0.622 -1.255 -1.853 3.854" Properties=species:S:1:pos:R:3 pbc="T T T"
V 1.472 -1.644 -0.311
V -0.627 -0.926 1.927
V -1.551 -1.185 -1.075
Pt -0.707 -3.756 0.541
Mo 0.000 0.000 0.000
```

Calculated values
Symmetry   Pm-3m, No. 221
Fermi-level density of states   7.15 states/eV per cell
Mass density   8.327 g/cm³

=====

(Q) is preferred energetically. Next in line: 14.9 kJ/mol of atoms higher.

=====

(P)
Here is Mo3PtW after structural relaxation from Alexandria via LeMat-Bulk. Energies are from GGA-PBE.

```
5
Lattice="-2.890 -1.729 3.256 3.512 -2.550 1.763 1.122 3.529 2.870" Properties=species:S:1:pos:R:3 pbc="T T T"
Mo 1.756 -1.275 0.882
Mo 0.561 1.764 1.435
Mo -1.445 -0.865 1.628
Pt 0.872 -0.375 3.945
W 0.000 0.000 0.000
```

Calculated values
Symmetry   Pm-3m, No. 221
Fermi-level density of states   5.98 states/eV per cell
Mass density   10.767 g/cm³

=====

(Q)
Here is Mo3PtW after structural relaxation from Alexandria via LeMat-Bulk. Energies are from GGA-PBE.

```
5
Lattice="4.698 0.000 0.000 0.000 4.698 0.000 0.000 0.000 4.698" Properties=species:S:1:pos:R:3 pbc="T T T"
Mo 0.000 2.349 0.000
Mo 2.349 0.000 0.000
Mo 0.000 0.000 2.349
Pt 0.000 0.000 0.000
W 2.349 2.349 2.349
```

Calculated values
Symmetry   Pm-3m, No. 221
Fermi-level density of states   7.15 states/eV per cell
Mass density   10.680 g/cm³

=====

(P) is preferred energetically. Next in line: 31.9 kJ/mol of atoms higher.

=====

(P)
Here is MoPtW2 after structural relaxation from Alexandria via LeMat-Bulk. Energies are from GGA-PBE.

```
8
Lattice="-2.352 -1.715 -2.546 2.177 -3.194 0.141 -5.292 -5.692 5.786" Properties=species:S:1:pos:R:3 pbc="T T T"
Pt -3.866 -4.931 1.019
Pt 0.000 0.000 0.000
W -4.140 -8.538 2.234
W -4.017 -6.136 3.439
W -0.276 -3.648 1.196
W -2.501 -2.880 -0.106
Mo -0.088 -2.454 -1.202
Mo -1.601 -5.670 2.362
```

Calculated values
Symmetry   I-42d, No. 122
Fermi-level density of states   9.81 states/eV per cell
Mass density   15.736 g/cm³

=====

(Q)
Here is MoPtW2 after structural relaxation from Alexandria via LeMat-Bulk. Energies are from GGA-PBE.

```
4
Lattice="-4.090 2.692 0.191 -3.843 1.873 -2.395 -3.240 -3.726 0.870" Properties=species:S:1:pos:R:3 pbc="T T T"
Pt -2.794 0.213 -0.334
W -8.371 0.631 -1.000
W -7.907 4.520 -2.187
Mo -5.620 0.460 -0.683
```

Calculated values
Symmetry   Cm, No. 8
Fermi-level density of states   3.08 states/eV per cell
Mass density   17.197 g/cm³

=====

(R)
Here is MoPtW2 after structural relaxation from Alexandria via LeMat-Bulk. Energies are from GGA-PBE.

```
4
Lattice="-0.501 -0.885 4.791 -2.758 -1.840 3.605 1.937 -4.628 0.040" Properties=species:S:1:pos:R:3 pbc="T T T"
Mo -0.992 -5.514 6.327
W -0.691 -3.674 4.272
W -3.230 -2.727 8.342
Pt -0.331 -1.838 2.109
```

Calculated values
Symmetry   C2/m, No. 12
Fermi-level density of states   3.11 states/eV per cell
Mass density   17.189 g/cm³

=====

(S)
Here is MoPtW2 after structural relaxation from Alexandria via LeMat-Bulk. Energies are from GGA-PBE.

```
4
Lattice="-2.467 0.344 -1.113 -0.516 -0.882 2.530 -0.136 8.341 2.880" Properties=species:S:1:pos:R:3 pbc="T T T"
Mo -0.068 4.193 1.448
W -1.525 1.817 1.429
W -0.135 8.310 2.870
Pt -1.593 5.994 2.871
```

Calculated values
Symmetry   Cmm2, No. 35
Fermi-level density of states   2.90 states/eV per cell
Mass density   17.189 g/cm³

=====

(S) is preferred energetically. Next in line: 6.1 kJ/mol of atoms higher.

=====

(P)
Here is MoPtW2 after structural relaxation from Alexandria via LeMat-Bulk. Energies are from GGA-PBE.

```
4
Lattice="-0.643 3.005 3.823 -3.369 -1.843 3.052 4.025 -1.939 -2.031" Properties=species:S:1:pos:R:3 pbc="T T T"
W 0.688 0.823 2.615
W 0.000 0.000 0.000
Pt -0.675 -1.601 2.230
Mo -2.006 0.581 3.438
```

Calculated values
Symmetry   I-4m2, No. 119
Fermi-level density of states   4.96 states/eV per cell
Mass density   17.228 g/cm³

=====

(Q)
Here is MoPtW2 after structural relaxation from Alexandria via LeMat-Bulk. Energies are from GGA-PBE.

```
4
Lattice="2.730 -0.009 0.000 -0.702 2.638 0.000 0.000 0.000 8.843" Properties=species:S:1:pos:R:3 pbc="T T T"
Mo 1.014 1.314 2.211
W 0.000 0.000 8.821
W 0.000 0.000 4.444
Pt 1.014 1.314 6.633
```

Calculated values
Symmetry   Cmmm, No. 65
Fermi-level density of states   2.73 states/eV per cell
Mass density   17.189 g/cm³

=====

(R)
Here is MoPtW2 after structural relaxation from Alexandria via LeMat-Bulk. Energies are from GGA-PBE.

```
4
Lattice="-2.119 -1.260 2.189 -2.054 -0.804 -2.451 2.631 -5.259 -0.479" Properties=species:S:1:pos:R:3 pbc="T T T"
W -1.423 -2.359 -0.252
W 0.003 -0.007 -0.001
Pt -0.099 -5.005 -0.493
Mo 1.292 -2.582 -0.235
```

Calculated values
Symmetry   P4mm, No. 99
Fermi-level density of states   4.50 states/eV per cell
Mass density   17.053 g/cm³

=====

(Q) is preferred energetically. Next in line: 3.9 kJ/mol of atoms higher.

=====

(P)
Here is MoPtW2 after structural relaxation from Alexandria via LeMat-Bulk. Energies are from GGA-PBE.

```
4
Lattice="-1.719 0.084 4.210 0.562 -2.642 0.282 4.835 0.467 1.965" Properties=species:S:1:pos:R:3 pbc="T T T"
W 0.561 -2.389 0.277
W 0.422 -0.438 2.638
Pt 3.249 -1.989 3.823
Mo 2.706 -1.004 1.125
```

Calculated values
Symmetry   Pm, No. 6
Fermi-level density of states   2.88 states/eV per cell
Mass density   17.076 g/cm³

=====

(Q)
Here is MoPtW2 after structural relaxation from Alexandria via LeMat-Bulk. Energies are from GGA-PBE.

```
4
Lattice="-3.323 -3.564 -0.893 0.524 0.691 4.878 -2.009 1.886 -0.051" Properties=species:S:1:pos:R:3 pbc="T T T"
W 0.000 0.000 0.000
W -1.400 -1.437 1.992
Mo -2.666 -0.839 -0.472
Pt -0.742 1.288 2.413
```

Calculated values
Symmetry   Cmmm, No. 65
Fermi-level density of states   2.72 states/eV per cell
Mass density   17.256 g/cm³

=====

(P) is preferred energetically. Next in line: 1.8 kJ/mol of atoms higher.

=====

(P)
Here is MoPtW2 after structural relaxation from Alexandria via LeMat-Bulk. Energies are from GGA-PBE.

```
4
Lattice="9.757 0.017 0.010 9.358 2.764 0.010 9.358 1.361 2.405" Properties=species:S:1:pos:R:3 pbc="T T T"
Pt 21.356 3.107 1.819
Mo 14.170 2.061 1.207
W 0.067 0.010 0.006
W 7.116 1.035 0.606
```

Calculated values
Symmetry   R3m, No. 160
Fermi-level density of states   4.79 states/eV per cell
Mass density   17.034 g/cm³

=====

(Q)
Here is MoPtW2 after structural relaxation from Alexandria via LeMat-Bulk. Energies are from GGA-PBE.

```
4
Lattice="-1.377 2.281 4.107 3.358 -0.701 3.493 0.330 1.552 -4.632" Properties=species:S:1:pos:R:3 pbc="T T T"
Pt 2.340 0.821 1.331
W 1.979 1.578 7.589
W 0.994 0.792 3.811
Mo -0.028 2.312 1.638
```

Calculated values
Symmetry   Immm, No. 71
Fermi-level density of states   5.00 states/eV per cell
Mass density   17.234 g/cm³

=====

(Q) is preferred energetically. Next in line: 15.5 kJ/mol of atoms higher.

=====

(P)
Here is Zn2MoPt after structural relaxation from Alexandria via LeMat-Bulk. Energies are from GGA-PBE.

```
4
Lattice="5.404 0.000 -0.003 2.539 4.770 0.003 -3.232 -3.616 2.383" Properties=species:S:1:pos:R:3 pbc="T T T"
Zn 0.061 0.036 0.000
Zn 3.911 2.349 0.000
Pt 1.639 1.770 1.193
Mo 3.072 -0.616 1.190
```

Calculated values
Symmetry   Immm, No. 71
Fermi-level density of states   2.96 states/eV per cell
Mass density   11.396 g/cm³

=====

(Q)
Here is Zn2MoPt after structural relaxation from Alexandria via LeMat-Bulk. Energies are from GGA-PBE.

```
4
Lattice="-1.287 -2.070 -1.378 2.888 -0.824 -1.459 1.277 -3.968 4.769" Properties=species:S:1:pos:R:3 pbc="T T T"
Pt 1.759 -4.423 2.158
Mo 1.120 -2.439 -0.226
Zn 1.261 -3.917 4.708
Zn 0.655 -2.034 2.445
```

Calculated values
Symmetry   Pmmm, No. 47
Fermi-level density of states   2.39 states/eV per cell
Mass density   11.827 g/cm³

=====

(Q) is preferred energetically. Next in line: 3.3 kJ/mol of atoms higher.

=====

(P)
Here is Zn2MoPt after structural relaxation from Alexandria via LeMat-Bulk. Energies are from GGA-PBE.

```
4
Lattice="5.375 0.004 0.005 2.675 4.662 -0.005 -3.410 -3.393 2.397" Properties=species:S:1:pos:R:3 pbc="T T T"
Zn 0.015 0.009 0.000
Zn 3.044 -0.500 1.201
Pt 1.600 1.775 1.196
Mo 4.005 2.322 0.000
```

Calculated values
Symmetry   Imm2, No. 44
Fermi-level density of states   3.73 states/eV per cell
Mass density   11.676 g/cm³

=====

(Q)
Here is Zn2MoPt after structural relaxation from Alexandria via LeMat-Bulk. Energies are from GGA-PBE.

```
4
Lattice="-4.905 0.294 -0.083 1.541 -3.525 -3.059 -0.140 -1.777 1.977" Properties=species:S:1:pos:R:3 pbc="T T T"
Zn 0.000 0.000 0.000
Zn -1.682 -1.615 -1.571
Pt 0.700 -2.651 -0.541
Mo -2.523 -0.741 0.947
```

Calculated values
Symmetry   Cmmm, No. 65
Fermi-level density of states   3.26 states/eV per cell
Mass density   11.609 g/cm³

=====

(R)
Here is Zn2MoPt after structural relaxation from Alexandria via LeMat-Bulk. Energies are from GGA-PBE.

```
4
Lattice="-2.284 -1.494 3.838 0.284 -2.441 4.018 1.179 3.760 2.968" Properties=species:S:1:pos:R:3 pbc="T T T"
Mo -0.430 -0.148 5.379
Pt -0.188 0.010 2.741
Zn -0.594 -0.062 8.176
Zn -0.840 -0.239 10.765
```

Calculated values
Symmetry   Cm, No. 8
Fermi-level density of states   2.23 states/eV per cell
Mass density   11.601 g/cm³

=====

(S)
Here is Zn2MoPt after structural relaxation from Alexandria via LeMat-Bulk. Energies are from GGA-PBE.

```
8
Lattice="7.038 0.000 0.000 0.000 7.038 0.000 3.519 3.519 2.641" Properties=species:S:1:pos:R:3 pbc="T T T"
Zn 5.278 5.201 1.981
Zn 8.797 8.874 1.981
Zn 1.682 5.278 0.660
Zn 5.355 1.759 0.660
Mo 3.519 3.519 0.000
Mo 3.519 7.038 1.320
Pt 7.038 3.519 1.320
Pt 0.000 0.000 0.000
```

Calculated values
Symmetry   I-42d, No. 122
Fermi-level density of states   5.95 states/eV per cell
Mass density   10.711 g/cm³

=====

(R) is preferred energetically. Next in line: 5.4 kJ/mol of atoms higher.

=====

(P)
Here is Zn2MoPt after structural relaxation from Alexandria via LeMat-Bulk. Energies are from GGA-PBE.

```
4
Lattice="-0.668 -3.161 2.938 1.119 -1.806 -1.689 4.709 0.757 1.884" Properties=species:S:1:pos:R:3 pbc="T T T"
Pt 4.037 -2.368 1.616
Zn 0.998 -1.519 -1.408
Zn 3.035 -0.812 -0.183
Mo 1.123 -1.843 1.518
```

Calculated values
Symmetry   P2/m, No. 10
Fermi-level density of states   2.79 states/eV per cell
Mass density   11.540 g/cm³

=====

(Q)
Here is Zn2MoPt after structural relaxation from Alexandria via LeMat-Bulk. Energies are from GGA-PBE.

```
4
Lattice="-0.540 1.545 2.243 -2.372 0.860 -1.159 -3.721 -5.946 3.200" Properties=species:S:1:pos:R:3 pbc="T T T"
Zn -3.683 -5.886 3.167
Zn -1.898 -3.033 1.632
Pt -4.246 -3.257 2.942
Mo -2.386 -0.284 1.342
```

Calculated values
Symmetry   P4/mmm, No. 123
Fermi-level density of states   2.17 states/eV per cell
Mass density   11.788 g/cm³

=====

(Q) is preferred energetically. Next in line: 6.3 kJ/mol of atoms higher.

=====

(P)
Here is Zn2MoPt after structural relaxation from Alexandria via LeMat-Bulk. Energies are from GGA-PBE.

```
4
Lattice="-2.608 1.030 -3.713 -3.844 -1.055 -2.400 -3.195 3.215 2.099" Properties=species:S:1:pos:R:3 pbc="T T T"
Zn -6.439 -0.022 -6.094
Zn -4.836 1.591 -2.025
Pt -2.412 0.797 -1.003
Mo -7.235 2.392 -3.010
```

Calculated values
Symmetry   C2/m, No. 12
Fermi-level density of states   3.73 states/eV per cell
Mass density   11.626 g/cm³

=====

(Q)
Here is Zn2MoPt after structural relaxation from Alexandria via LeMat-Bulk. Energies are from GGA-PBE.

```
4
Lattice="3.878 0.000 0.000 0.000 3.937 0.000 0.000 0.000 3.937" Properties=species:S:1:pos:R:3 pbc="T T T"
Pt 1.939 0.000 1.969
Zn 0.000 1.969 1.969
Zn 0.000 0.000 0.000
Mo 1.939 1.969 0.000
```

Calculated values
Symmetry   P4/mmm, No. 123
Fermi-level density of states   4.30 states/eV per cell
Mass density   11.652 g/cm³

=====

(P) is preferred energetically. Next in line: 3.8 kJ/mol of atoms higher.

=====

(P)
Here is Zn2MoPt after structural relaxation from Alexandria via LeMat-Bulk. Energies are from GGA-PBE.

```
4
Lattice="-2.549 0.835 3.305 0.758 -2.346 1.177 4.299 1.267 2.996" Properties=species:S:1:pos:R:3 pbc="T T T"
Mo 2.677 -0.632 2.225
Pt 2.593 -0.877 4.963
Zn -0.173 0.224 2.551
Zn 0.696 -1.843 1.002
```

Calculated values
Symmetry   Pm, No. 6
Fermi-level density of states   2.30 states/eV per cell
Mass density   11.570 g/cm³

=====

(Q)
Here is Zn2MoPt after structural relaxation from Alexandria via LeMat-Bulk. Energies are from GGA-PBE.

```
4
Lattice="-0.080 2.138 -1.765 -4.802 0.245 0.514 0.521 2.897 3.486" Properties=species:S:1:pos:R:3 pbc="T T T"
Zn -2.441 1.192 -0.625
Zn 0.000 0.000 0.000
Mo 0.221 2.518 0.861
Pt -2.140 1.571 2.000
```

Calculated values
Symmetry   Pmmm, No. 47
Fermi-level density of states   2.21 states/eV per cell
Mass density   11.446 g/cm³

=====

(P) is preferred energetically. Next in line: 9.1 kJ/mol of atoms higher.

=====

(P)
Here is Zn2MoPt after structural relaxation from Alexandria via LeMat-Bulk. Energies are from GGA-PBE.

```
4
Lattice="8.983 0.001 0.001 8.543 2.778 0.001 8.543 1.355 2.426" Properties=species:S:1:pos:R:3 pbc="T T T"
Zn 0.041 0.006 0.004
Zn 12.994 2.061 1.210
Mo 6.517 1.034 0.607
Pt 19.552 3.101 1.820
```

Calculated values
Symmetry   R-3m, No. 166
Fermi-level density of states   4.59 states/eV per cell
Mass density   11.579 g/cm³

=====

(Q)
Here is Zn2MoPt after structural relaxation from Alexandria via LeMat-Bulk. Energies are from GGA-PBE.

```
4
Lattice="-3.903 -0.363 2.038 -0.169 -1.168 4.257 -1.179 2.962 3.058" Properties=species:S:1:pos:R:3 pbc="T T T"
Pt -3.938 1.074 7.015
Mo -2.625 0.716 4.677
Zn -1.313 0.358 2.338
Zn 0.000 0.000 0.000
```

Calculated values
Symmetry   F-43m, No. 216
Fermi-level density of states   3.39 states/eV per cell
Mass density   11.489 g/cm³

=====

(P) is preferred energetically. Next in line: 6.6 kJ/mol of atoms higher.